# 1
ZrHg2Se (PBE, relaxed); formation energy from raw total energies = -0.33 eV/atom; calculated total energy = -3.487 eV/atom; symmetry = C2/m, No. 12
1.0
14.4016 0.0000 0.0000
0.0000 3.3800 0.0000
-1.2289 0.0000 4.1035
Zr Hg Se
2 4 2
direct
0.0000 0.0000 0.0000 Zr
0.5000 0.5000 0.0000 Zr
0.1928 0.5000 0.1953 Hg
0.3072 0.0000 0.8047 Hg
0.6928 0.0000 0.1953 Hg
0.8072 0.5000 0.8047 Hg
0.0000 0.5000 0.5000 Se
0.5000 0.0000 0.5000 Se


# 2
Tl4Tc2S (PBE, relaxed); formation energy from raw total energies = 0.83 eV/atom; calculated total energy = -4.078 eV/atom; symmetry = I4/mmm, No. 139
1.0
5.6103 0.0000 0.0000
0.0000 5.6103 0.0000
0.0000 0.0000 13.3648
Tl Tc S
8 4 2
direct
0.0000 0.0000 0.2009 Tl
0.0000 0.0000 0.7991 Tl
0.0000 0.5000 0.0000 Tl
0.0000 0.5000 0.5000 Tl
0.5000 0.0000 0.0000 Tl
0.5000 0.0000 0.5000 Tl
0.5000 0.5000 0.2991 Tl
0.5000 0.5000 0.7009 Tl
0.0000 0.0000 0.4192 Tc
0.0000 0.0000 0.5808 Tc
0.5000 0.5000 0.0808 Tc
0.5000 0.5000 0.9192 Tc
0.0000 0.0000 0.0000 S
0.5000 0.5000 0.5000 S


# 3
Y6InRh (PBE, relaxed); calculated total energy = -6.234 eV/atom; symmetry = P-1, No. 2; formation energy from the elements = -124 meV per atom
1.0
6.9393 0.0000 0.0000
-3.4671 6.0206 0.0000
-3.4574 -2.0043 6.2803
Y In Rh
6 1 1
direct
0.0408 0.0793 0.2532 Y
0.2914 0.7122 0.2529 Y
0.3250 0.5378 0.7471 Y
0.6750 0.4622 0.2529 Y
0.7086 0.2878 0.7471 Y
0.9592 0.9207 0.7468 Y
0.5000 0.0000 0.0000 In
0.5000 0.5000 0.5000 Rh